Crystalline KCa2La at its relaxed geometry. Source: Alexandria, functional PBE. Values from VASP.

## Properties
DFT total energy: -2.002 eV/atom
E above lowest polymorph: 0.379 eV/atom
Energy of formation: 0.5049 eV per atom
Magnetization: 0.0 Bohr magnetons per cell
Crystal system: tetragonal
Volume: 44.24 Å³/atom

The structure in Quantum ESPRESSO input format:
```
&SYSTEM
  ibrav = 0, nat = 16, ntyp = 3
/
ATOMIC_SPECIES
K 39.10 K.upf
Ca 40.08 Ca.upf
La 138.91 La.upf
CELL_PARAMETERS angstrom
9.7264 0.0000 0.0000
0.0000 9.7264 0.0000
0.0000 0.0000 7.4815
ATOMIC_POSITIONS crystal
K 0.0000 0.0000 0.0000
K 0.0000 0.5000 0.2500
K 0.5000 0.0000 0.7500
K 0.5000 0.5000 0.5000
Ca 0.2441 0.7500 0.1250
Ca 0.2500 0.2441 0.8750
Ca 0.2500 0.2559 0.3750
Ca 0.2559 0.7500 0.6250
Ca 0.7441 0.2500 0.6250
Ca 0.7500 0.7441 0.3750
Ca 0.7500 0.7559 0.8750
Ca 0.7559 0.2500 0.1250
La 0.0000 0.0000 0.5000
La 0.0000 0.5000 0.7500
La 0.5000 0.0000 0.2500
La 0.5000 0.5000 0.0000
```